A plane-wave DFT calculation with PBE was carried out for ScSiAs2Br after structural relaxation.

a b c (Å): 5.198 5.198 5.063
angles (deg): 90.00 90.00 90.00
Space group P4/mmm (No. 123)
Inequivalent atoms, fractional coordinates:
Sc  0.000  0.000  0.000 x1
Si  0.500  0.500  0.500 x1
As  0.000  0.500  0.000 x2
Br  0.000  0.000  0.500 x1

Properties
The energy above the most stable polymorph in this dataset is 166 meV per atom. For the electronic total energy, the calculation gives -4.243 eV per atom.